La7DyTm3 | Alexandria via LeMat-Bulk | PBE | relaxed; DFT total energy = -4.5587 eV per atom; energy relative to the lowest polymorph listed for this composition = 1.15 eV per formula unit; SG = Immm (71); energy of formation = 20.7 kJ per mole of atoms
1.0
5.986 -0.156 -0.200
-2.753 8.147 0.970
-2.753 -1.034 8.139
La Dy Tm
7 1 3
Direct
0.208 0.208 0.208
0.308 0.021 0.595
0.692 0.405 0.979
0.308 0.595 0.021
0.000 0.500 0.500
0.692 0.979 0.405
0.792 0.792 0.792
0.500 0.500 0.500
0.000 0.794 0.206
0.500 0.000 0.000
0.000 0.206 0.794

=====

TbNdLuGa | Alexandria via LeMat-Bulk | PBE | relaxed; DFT total energy = -4.3486 eV per atom; SG = F-43m (216); energy of formation = -10.8 kJ per mole of atoms
1.0
-2.074 4.715 -1.447
-3.660 0.230 -3.896
-5.089 1.158 1.176
Nd Lu Tb Ga
1 1 1 1
Direct
0.500 0.500 0.500
0.750 0.750 0.750
0.000 0.000 0.000
0.250 0.250 0.250

=====

BeIrBr | Alexandria via LeMat-Bulk | PBE | relaxed; DFT total energy = -5.0537 eV per atom; energy relative to the lowest polymorph listed for this composition = 0.00 eV per formula unit; SG = P-1 (2); energy relative to the elements, uncorrected = -0.300 eV/atom
1.0
-1.740 1.056 -3.070
1.707 -2.143 -1.704
-8.537 -5.108 0.842
Be Ir Br
2 2 2
Direct
0.510 0.477 0.031
0.079 0.411 0.896
0.598 0.893 0.858
0.991 0.995 0.068
0.397 0.086 0.255
0.193 0.801 0.671

=====

NbPbNF2 | Alexandria via LeMat-Bulk | PBE | relaxed; DFT total energy = -5.0428 eV per atom; energy relative to the lowest polymorph listed for this composition = 6.64 eV per formula unit; SG = P4/mmm (123); energy relative to the elements, uncorrected = 0.126 eV/atom
1.0
-1.196 -4.006 -1.614
2.407 0.772 -3.700
3.598 -1.861 1.953
Pb Nb N F
1 1 1 2
Direct
0.000 0.000 0.000
0.500 0.500 0.500
0.000 0.000 0.500
0.000 0.500 0.000
0.500 0.000 0.000

=====

K2PuPbO6 | Alexandria via LeMat-Bulk | PBE | relaxed; DFT total energy = -6.8735 eV per atom; SG = R-3 (148); energy relative to the elements, uncorrected = -1.875 eV/atom
1.0
-0.556 -5.350 2.951
4.940 -2.664 2.478
0.634 -0.225 6.089
K Pu Pb O
2 1 1 6
Direct
0.566 0.566 0.302
0.066 0.066 0.801
0.316 0.316 0.052
0.816 0.816 0.552
0.548 0.111 0.285
0.111 0.057 0.285
0.057 0.548 0.285
0.522 0.575 0.818
0.575 0.084 0.818
0.084 0.522 0.818

=====

SmCd4Pd | Alexandria via LeMat-Bulk | PBE | relaxed; DFT total energy = -2.4483 eV per atom; energy relative to the lowest polymorph listed for this composition = 0.48 eV per formula unit; SG = F-43m (216); energy of formation = -18.0 kJ per mole of atoms
1.0
-4.311 3.608 -1.123
-4.777 -0.168 3.165
-1.182 4.273 3.634
Pd Sm Cd
1 1 4
Direct
0.000 0.000 0.000
0.250 0.250 0.250
0.626 0.626 0.123
0.626 0.123 0.626
0.626 0.626 0.626
0.123 0.626 0.626